(1)
# Ca2CdReN4, optimized geometry, DFT PBE
# mass density: 5.265 g cm⁻³
# raw total energy: -6.86 eV/atom
data_Ca2CdReN4
_chemical_formula_sum 'Ca4 Cd2 Re2 N8'
_space_group_name_H-M_alt 'P m n 21'
_space_group_IT_number 31
_cell_length_a 7.796
_cell_length_b 6.204
_cell_length_c 5.670
_cell_angle_alpha 90.00
_cell_angle_beta 90.00
_cell_angle_gamma 90.00
loop_
_space_group_symop_operation_xyz
'x,y,z'
'-x+1/2,-y,z+1/2'
'-x,y,z'
'x+1/2,-y,z+1/2'
loop_
_atom_site_label
_atom_site_fract_x
_atom_site_fract_y
_atom_site_fract_z
_atom_site_occupancy
Ca1 0.249 0.191 0.000 1
Cd1 0.000 0.307 0.499 1
Re1 0.000 0.680 0.015 1
N1 0.000 0.401 0.901 1
N2 0.000 0.660 0.339 1
N3 0.197 0.822 0.920 1

***

(2)
# CaCd2ReN4, optimized geometry, DFT PBE
# mass density: 6.315 g cm⁻³
# raw total energy: -6.35 eV/atom
data_CaCd2ReN4
_chemical_formula_sum 'Ca2 Cd4 Re2 N8'
_space_group_name_H-M_alt 'P m n 21'
_space_group_IT_number 31
_cell_length_a 7.231
_cell_length_b 6.258
_cell_length_c 5.894
_cell_angle_alpha 90.00
_cell_angle_beta 90.00
_cell_angle_gamma 90.00
loop_
_space_group_symop_operation_xyz
'x,y,z'
'-x+1/2,-y,z+1/2'
'-x,y,z'
'x+1/2,-y,z+1/2'
loop_
_atom_site_label
_atom_site_fract_x
_atom_site_fract_y
_atom_site_fract_z
_atom_site_occupancy
Ca1 0.000 0.156 0.000 1
Cd1 0.248 0.660 0.002 1
Re1 0.000 0.833 0.502 1
N1 0.000 0.117 0.409 1
N2 0.000 0.821 0.815 1
N3 0.210 0.695 0.394 1

***

(3)
# Ca2CdReN, optimized geometry, DFT PBE
# mass density: 6.411 g cm⁻³
# raw total energy: -5.45 eV/atom
data_Ca2CdReN
_chemical_formula_sum 'Ca2 Cd1 Re1 N1'
_space_group_name_H-M_alt 'P 4/m m m'
_space_group_IT_number 123
_space_group_name_Hall '-P 4 2'
_cell_length_a 5.120
_cell_length_b 5.120
_cell_length_c 3.881
_cell_angle_alpha 90.00
_cell_angle_beta 90.00
_cell_angle_gamma 90.00
loop_
_atom_site_label
_atom_site_fract_x
_atom_site_fract_y
_atom_site_fract_z
_atom_site_occupancy
Ca1 0.000 0.500 0.000 1
Cd1 0.000 0.000 0.500 1
Re1 0.500 0.500 0.500 1
N1 0.500 0.500 0.000 1

***

(4)
# Ca2CdRhN, optimized geometry, DFT PBE
# mass density: 5.119 g cm⁻³
# raw total energy: -4.66 eV/atom
data_Ca2CdRhN
_chemical_formula_sum 'Ca2 Cd1 Rh1 N1'
_space_group_name_H-M_alt 'P 4/m m m'
_space_group_IT_number 123
_space_group_name_Hall '-P 4 2'
_cell_length_a 5.092
_cell_length_b 5.092
_cell_length_c 3.871
_cell_angle_alpha 90.00
_cell_angle_beta 90.00
_cell_angle_gamma 90.00
loop_
_atom_site_label
_atom_site_fract_x
_atom_site_fract_y
_atom_site_fract_z
_atom_site_occupancy
Ca1 0.000 0.500 0.000 1
Cd1 0.000 0.000 0.500 1
Rh1 0.500 0.500 0.500 1
N1 0.500 0.500 0.000 1

***

(5)
# Ca2CdRuN, optimized geometry, DFT PBE
# mass density: 3.912 g cm⁻³
# raw total energy: -3.40 eV/atom
# ΔE to the lowest computed polymorph: 1.5762 eV/atom
data_Ca2CdRuN
_chemical_formula_sum 'Ca2 Cd1 Ru1 N1'
_space_group_name_H-M_alt 'P 4/m m m'
_space_group_IT_number 123
_space_group_name_Hall '-P 4 2'
_cell_length_a 5.808
_cell_length_b 5.808
_cell_length_c 3.872
_cell_angle_alpha 90.00
_cell_angle_beta 90.00
_cell_angle_gamma 90.00
loop_
_atom_site_label
_atom_site_fract_x
_atom_site_fract_y
_atom_site_fract_z
_atom_site_occupancy
Ca1 0.000 0.500 0.000 1
Cd1 0.000 0.000 0.000 1
Ru1 0.500 0.500 0.500 1
N1 0.000 0.000 0.500 1

***

(6)
# Ca2CdRuN, optimized geometry, DFT PBE
# mass density: 5.100 g cm⁻³
# raw total energy: -4.98 eV/atom
# ΔE to the lowest computed polymorph: 0.0000 eV/atom
data_Ca2CdRuN
_chemical_formula_sum 'Ca2 Cd1 Ru1 N1'
_space_group_name_H-M_alt 'P 4/m m m'
_space_group_IT_number 123
_space_group_name_Hall '-P 4 2'
_cell_length_a 5.110
_cell_length_b 5.110
_cell_length_c 3.836
_cell_angle_alpha 90.00
_cell_angle_beta 90.00
_cell_angle_gamma 90.00
loop_
_atom_site_label
_atom_site_fract_x
_atom_site_fract_y
_atom_site_fract_z
_atom_site_occupancy
Ca1 0.000 0.500 0.000 1
Cd1 0.000 0.000 0.500 1
Ru1 0.500 0.500 0.500 1
N1 0.500 0.500 0.000 1

***

(7)
# CaCdSN2, optimized geometry, DFT PBE
# mass density: 3.130 g cm⁻³
# raw total energy: -3.62 eV/atom
# ΔE to the lowest computed polymorph: 0.3545 eV/atom
data_CaCdSN2
_chemical_formula_sum 'Ca1 Cd1 S1 N2'
_space_group_name_H-M_alt 'P 4/m m m'
_space_group_IT_number 123
_space_group_name_Hall '-P 4 2'
_cell_length_a 4.499
_cell_length_b 4.499
_cell_length_c 5.572
_cell_angle_alpha 90.00
_cell_angle_beta 90.00
_cell_angle_gamma 90.00
loop_
_atom_site_label
_atom_site_fract_x
_atom_site_fract_y
_atom_site_fract_z
_atom_site_occupancy
Ca1 0.000 0.000 0.000 1
Cd1 0.500 0.500 0.500 1
S1 0.000 0.000 0.500 1
N1 0.000 0.500 0.000 1

***

(8)
# CaCdSN2, optimized geometry, DFT PBE
# mass density: 3.571 g cm⁻³
# raw total energy: -3.97 eV/atom
# ΔE to the lowest computed polymorph: 0.0000 eV/atom
data_CaCdSN2
_chemical_formula_sum 'Ca1 Cd1 S1 N2'
_space_group_name_H-M_alt 'P 4/m m m'
_space_group_IT_number 123
_space_group_name_Hall '-P 4 2'
_cell_length_a 4.274
_cell_length_b 4.274
_cell_length_c 5.410
_cell_angle_alpha 90.00
_cell_angle_beta 90.00
_cell_angle_gamma 90.00
loop_
_atom_site_label
_atom_site_fract_x
_atom_site_fract_y
_atom_site_fract_z
_atom_site_occupancy
Ca1 0.000 0.000 0.000 1
Cd1 0.500 0.500 0.500 1
S1 0.500 0.500 0.000 1
N1 0.000 0.500 0.500 1